First-principles (GGA-PBE) data for an optimized crystal structure of Mg6ZrGa, as listed in Alexandria via LeMat-Bulk.

Calculated values
- DFT formation energy (eV per atom) = -0.02
- excess energy over the best structure of this formula in the dataset (eV/atom) = 0.0097

abc: 4.895 6.410 6.410
angles: 59.12 90.00 90.00
Fractional positions:
1 Mg 0.000 0.000 0.000
2 Mg 0.000 0.498 0.993
3 Mg 0.000 0.993 0.498
4 Mg 0.500 0.155 0.655
5 Mg 0.500 0.159 0.159
6 Mg 0.500 0.655 0.155
7 Zr 0.500 0.647 0.647
8 Ga 0.000 0.506 0.506

---

First-principles (GGA-PBE) data for an optimized crystal structure of RbScIn2Cl6, as listed in Alexandria via LeMat-Bulk.

Calculated values
- formation energy (no corrections) (eV per formula unit) = -15.800

abc: 7.744 7.769 7.885
angles: 90.04 119.41 119.88
Fractional positions:
1 Rb 0.000 0.000 0.000
2 Sc 0.983 0.491 0.474
3 In 0.575 0.288 0.861
4 In 0.580 0.790 0.371
5 Cl 0.069 0.393 0.229
6 Cl 0.076 0.270 0.680
7 Cl 0.409 0.806 0.678
8 Cl 0.555 0.162 0.228
9 Cl 0.835 0.673 0.227
10 Cl 0.872 0.604 0.678

---

First-principles (GGA-PBE) data for an optimized crystal structure of Na2HfRe, as listed in Alexandria via LeMat-Bulk.

Calculated values
- DFT formation energy (eV per atom) = 1.47
- excess energy over the best structure of this formula in the dataset (eV/atom) = 0.6476

abc: 4.816 4.816 4.816
angles: 60.00 60.00 60.00
Fractional positions:
1 Na 0.250 0.250 0.250
2 Na 0.750 0.750 0.750
3 Hf 0.000 0.000 0.000
4 Re 0.500 0.500 0.500

---

First-principles (GGA-PBE) data for an optimized crystal structure of PuUH3, as listed in Alexandria via LeMat-Bulk.

Calculated values
- total energy (eV per atom) = -7.23

abc: 7.263 7.263 5.091
angles: 90.34 90.34 62.30
Fractional positions:
1 Pu 0.113 0.330 0.251
2 Pu 0.330 0.113 0.751
3 Pu 0.670 0.887 0.249
4 Pu 0.887 0.670 0.749
5 U 0.206 0.794 0.250
6 U 0.386 0.614 0.750
7 U 0.614 0.386 0.250
8 U 0.794 0.206 0.750
9 H 0.085 0.086 0.500
10 H 0.086 0.085 0.000
11 H 0.170 0.555 0.498
12 H 0.172 0.550 0.000
13 H 0.445 0.830 0.002
14 H 0.450 0.828 0.500
15 H 0.550 0.172 0.500
16 H 0.555 0.170 0.998
17 H 0.828 0.450 0.000
18 H 0.830 0.445 0.502
19 H 0.914 0.915 0.000
20 H 0.915 0.914 0.500

---

First-principles (GGA-PBE) data for an optimized crystal structure of La2Ho5Er2, as listed in Alexandria via LeMat-Bulk.

Calculated values
- DFT formation energy (eV per atom) = 0.21

abc: 10.104 10.104 10.104
angles: 84.90 108.08 141.14
Fractional positions:
1 La 0.002 0.127 0.129
2 La 0.002 0.373 0.375
3 La 0.998 0.627 0.625
4 La 0.998 0.873 0.871
5 Ho 0.113 0.412 0.806
6 Ho 0.113 0.807 0.201
7 Ho 0.393 0.901 0.992
8 Ho 0.447 0.323 0.410
9 Ho 0.447 0.536 0.624
10 Ho 0.606 0.307 0.194
11 Ho 0.606 0.912 0.799
12 Ho 0.909 0.401 0.008
13 Ho 0.912 0.036 0.590
14 Ho 0.912 0.823 0.376
15 Er 0.449 0.209 0.741
16 Er 0.468 0.709 0.259
17 Er 0.542 0.042 0.500
18 Er 0.542 0.542 0.000

---

First-principles (GGA-PBE) data for an optimized crystal structure of LaCu2SiPt, as listed in Alexandria via LeMat-Bulk.

Calculated values
- formation energy (no corrections) (eV per formula unit) = 1.449

abc: 4.777 4.777 5.382
angles: 90.00 90.00 90.00
Fractional positions:
1 La 0.000 0.000 0.000
2 Cu 0.000 0.500 0.500
3 Cu 0.500 0.000 0.500
4 Si 0.500 0.500 0.000
5 Pt 0.000 0.000 0.500

---

First-principles (GGA-PBE) data for an optimized crystal structure of Ca2TlAs, as listed in Alexandria via LeMat-Bulk.

Calculated values
- DFT formation energy (eV per atom) = -0.72
- excess energy over the best structure of this formula in the dataset (eV/atom) = 0.0000

abc: 3.846 3.846 7.190
angles: 90.00 90.00 90.00
Fractional positions:
1 Ca 0.000 0.000 0.216
2 Ca 0.000 0.000 0.784
3 Tl 0.500 0.500 0.500
4 As 0.500 0.500 0.000

---

First-principles (GGA-PBE) data for an optimized crystal structure of NaSrSN2, as listed in Alexandria via LeMat-Bulk.

Calculated values
- formation energy (no corrections) (eV per formula unit) = 4.153
- excess energy over the best structure of this formula in the dataset (eV/atom) = 0.0000

abc: 4.491 4.491 5.186
angles: 90.00 90.00 90.00
Fractional positions:
1 Na 0.000 0.000 0.000
2 Sr 0.500 0.500 0.500
3 S 0.000 0.000 0.500
4 N 0.000 0.500 0.000
5 N 0.500 0.000 0.000

---

First-principles (GGA-PBE) data for an optimized crystal structure of GeCl3O, as listed in Alexandria via LeMat-Bulk.

Calculated values
- formation energy (no corrections) (eV per formula unit) = 0.888
- excess energy over the best structure of this formula in the dataset (eV/atom) = 0.0000

abc: 4.922 4.922 4.922
angles: 90.00 90.00 90.00
Fractional positions:
1 Ge 0.000 0.000 0.000
2 Cl 0.000 0.000 0.500
3 Cl 0.000 0.500 0.000
4 Cl 0.500 0.000 0.000
5 O 0.500 0.500 0.500

---

First-principles (GGA-PBE) data for an optimized crystal structure of Y4RuRh3, as listed in Alexandria via LeMat-Bulk.

Calculated values
- DFT formation energy (eV per atom) = -0.72

abc: 3.449 4.841 9.662
angles: 90.00 90.00 90.00
Fractional positions:
1 Y 0.000 0.000 0.000
2 Y 0.000 0.000 0.500
3 Y 0.000 0.500 0.247
4 Y 0.000 0.500 0.753
5 Ru 0.500 0.500 0.000
6 Rh 0.500 0.000 0.252
7 Rh 0.500 0.000 0.748
8 Rh 0.500 0.500 0.500

---

First-principles (GGA-PBE) data for an optimized crystal structure of KRu2Rh, as listed in Alexandria via LeMat-Bulk.

Calculated values
- DFT formation energy (eV per atom) = 0.76
- excess energy over the best structure of this formula in the dataset (eV/atom) = 0.1630

abc: 2.690 3.855 7.745
angles: 90.00 90.00 90.00
Fractional positions:
1 K 0.000 0.000 0.000
2 Ru 0.500 0.500 0.339
3 Ru 0.500 0.500 0.661
4 Rh 0.000 0.000 0.500

---

First-principles (GGA-PBE) data for an optimized crystal structure of AcSm5Dy2Er, as listed in Alexandria via LeMat-Bulk.

Calculated values
- DFT formation energy (eV per atom) = 0.28

abc: 9.902 9.902 9.902
angles: 124.53 124.53 82.31
Fractional positions:
1 Ac 0.250 0.250 0.000
2 Ac 0.750 0.750 0.000
3 Sm 0.000 0.000 0.000
4 Sm 0.074 0.574 0.900
5 Sm 0.174 0.074 0.500
6 Sm 0.326 0.826 0.900
7 Sm 0.426 0.326 0.500
8 Sm 0.500 0.500 0.000
9 Sm 0.574 0.674 0.500
10 Sm 0.674 0.174 0.100
11 Sm 0.826 0.926 0.500
12 Sm 0.926 0.426 0.100
13 Dy 0.111 0.389 0.500
14 Dy 0.389 0.889 0.277
15 Dy 0.611 0.111 0.723
16 Dy 0.889 0.611 0.500
17 Er 0.250 0.750 0.500
18 Er 0.750 0.250 0.500

---

no.,magnetic moment (μB/cell)
1,0.0
2,0.0
3,0.8
4,29.1
5,0.0
6,0.0
7,0.0
8,5.0
9,2.1
10,0.0
11,0.0
12,0.0